No. 1
Computed, not measured: crystalline SiRhCl at its relaxed geometry at the GGA-PBEsol level of DFT.

Structure (POSCAR):
```
SiRhCl
1.0
2.9965 0.0000 0.0000
0.0000 2.9965 0.0000
-1.4983 -1.4983 5.7043
Rh Si Cl
1 1 1
direct
0.7892 0.7892 0.5783 Rh
0.1966 0.1966 0.3931 Si
0.0143 0.0143 0.0285 Cl
```

Results
Its final energy is -5.90 eV/atom. The value obtained for the energy relative to the elements, uncorrected is -58 kJ/mol of atoms.

No. 2
Computed, not measured: crystalline SrRhCl4 at its relaxed geometry at the GGA-PBEsol level of DFT.

Structure (POSCAR):
```
SrRhCl4
1.0
-1.9031 5.3885 0.8587
-4.9755 1.7211 -2.3825
-4.6285 0.9331 3.3318
Cl Rh Sr
4 1 1
direct
0.3755 0.8735 0.3755 Cl
0.3755 0.3755 0.3755 Cl
0.8735 0.3755 0.3755 Cl
0.3755 0.3755 0.8735 Cl
0.7500 0.7500 0.7500 Rh
0.0000 0.0000 0.0000 Sr
```

Results
Its final energy is -2.96 eV/atom. The value obtained for the energy relative to the elements, uncorrected is 4 kJ/mol of atoms.

No. 3
Computed, not measured: crystalline SrRh2Cl at its relaxed geometry at the GGA-PBEsol level of DFT.

Structure (POSCAR):
```
SrRh2Cl
1.0
-0.0390 4.3549 -1.6337
-3.3028 1.3320 -2.9921
-3.3140 2.9656 1.3630
Rh Cl Sr
2 1 1
direct
0.2500 0.2500 0.2500 Rh
0.7500 0.7500 0.7500 Rh
0.0000 0.0000 0.0000 Cl
0.5000 0.5000 0.5000 Sr
```

Results
Its final energy is -4.57 eV/atom. The value obtained for the energy relative to the elements, uncorrected is 44 kJ/mol of atoms.

No. 4
Computed, not measured: crystalline TaRhCl at its relaxed geometry at the GGA-PBEsol level of DFT.

Structure (POSCAR):
```
TaRhCl
1.0
-1.7765 -0.7997 -3.7579
-2.2205 -3.5572 -0.5772
-4.2070 0.1779 -0.4330
Cl Ta Rh
1 1 1
direct
0.0000 0.0000 0.0000 Cl
0.2500 0.2500 0.2500 Ta
0.5000 0.5000 0.5000 Rh
```

Results
Its final energy is -7.28 eV/atom. The value obtained for the energy relative to the elements, uncorrected is 27 kJ/mol of atoms. The relative energy among the computed polymorphs comes out at 1.00 eV/f.u.